The following is a GGA-PBE calculation of a geometry-optimized K2SiBi2 structure, from the Alexandria database.

Calculated values
**Energy above the most stable polymorph in this dataset**: 0.563 eV/atom
**Size of the total moment**: 0.00 μB/f.u.
**Fermi-level density of states**: 3.9 states/eV/cell

Cell: 4.6730 4.6730 8.8241 Å, 74.65 74.65 90.00°
Closest atoms and distances in Å follow each position.
Atoms (fractional coordinates):
1 Bi 0.5881 0.5881 0.8238  1 Bi 2.88
2 Bi 0.4119 0.4119 0.1762  1 Bi 2.88
3 K 0.7500 0.2500 0.5000  4 K 3.30, 4 Bi 3.53
4 K 0.2500 0.7500 0.5000  4 K 3.30, 4 Bi 3.53
5 Si 0.0000 0.0000 0.0000  8 Bi 3.61